(1)
Below is a geometry-optimized TlPd2Se structure, with properties calculated at the PBE-GGA level.

a b c (Å): 4.8227 4.8227 8.6529
angles (deg): 73.82 73.82 90.00
Last column: nearest neighbours and their distance in Å.
Atoms (fractional coordinates):
Pd  0.5369  0.1250  0.2500  2 Se 2.45
Pd  0.3750  0.4631  0.7500  2 Se 2.45
Pd  0.2131  0.6250  0.2500  2 Se 2.45
Pd  0.8750  0.7869  0.7500  2 Se 2.45
Se  0.5000  0.5000  0.0000  4 Pd 2.45
Se  0.2500  0.7500  0.5000  4 Pd 2.45
Tl  0.0000  0.0000  0.0000  4 Pd 2.84
Tl  0.7500  0.2500  0.5000  4 Pd 2.84

Results
spin magnetization: 0.0 μB/f.u.
formation energy from raw total energies: -144 meV/atom
energy relative to the lowest polymorph listed for this composition: 0.122 eV per atom
SG: No. 122

(2)
Below is a geometry-optimized Tl4PdSe3 structure, with properties calculated at the PBE-GGA level.

a b c (Å): 5.8972 9.1313 9.1313
angles (deg): 84.01 71.16 71.16
Last column: nearest neighbours and their distance in Å.
Atoms (fractional coordinates):
Se  0.8770  0.5000  0.7459  2 Pd 2.59
Se  0.6230  0.2541  0.5000  2 Pd 2.59
Se  0.1230  0.5000  0.2541  2 Pd 2.59
Se  0.3770  0.7459  0.5000  2 Pd 2.59
Se  0.7500  0.0000  0.0000  2 Se 2.95, 8 Tl 3.27
Se  0.2500  0.0000  0.0000  2 Se 2.95, 8 Tl 3.27
Pd  0.7500  0.5000  0.5000  4 Se 2.59
Pd  0.2500  0.5000  0.5000  4 Se 2.59
Tl  0.4117  0.3103  0.8664  5 Se 3.20-3.53, 1 Tl 3.28
Tl  0.9117  0.8664  0.3103  5 Se 3.20-3.53, 1 Tl 3.28
Tl  0.2780  0.1336  0.3103  5 Se 3.20-3.53, 1 Tl 3.28
Tl  0.7220  0.8664  0.6897  5 Se 3.20-3.53, 1 Tl 3.28
Tl  0.2220  0.6897  0.8664  5 Se 3.20-3.53, 1 Tl 3.28
Tl  0.5883  0.6897  0.1336  5 Se 3.20-3.53, 1 Tl 3.28
Tl  0.0883  0.1336  0.6897  5 Se 3.20-3.53, 1 Tl 3.28
Tl  0.7780  0.3103  0.1336  5 Se 3.20-3.53, 1 Tl 3.28

Results
spin magnetization: 0.0 μB/f.u.
formation energy from raw total energies: -244 meV/atom
SG: No. 140

(3)
Below is a geometry-optimized UTl2PdSe4 structure, with properties calculated at the PBE-GGA level.

a b c (Å): 4.0967 8.5026 6.3261
angles (deg): 72.23 90.00 90.00
Last column: nearest neighbours and their distance in Å.
Atoms (fractional coordinates):
Se  0.0000  0.6915  0.7775  2 Pd 2.73, 1 U 2.73
Se  0.5000  0.7024  0.2596  1 Pd 2.72, 2 U 2.81
Se  0.5000  0.2976  0.7404  1 Pd 2.72, 2 U 2.81
Se  0.0000  0.3085  0.2225  2 Pd 2.73, 1 U 2.73
U  0.0000  0.5000  0.5000  6 Se 2.73-2.81
Tl  0.5000  0.0000  0.5000  6 Se 3.33-3.37
Tl  0.0000  0.0000  0.0000  6 Se 3.28-3.33
Pd  0.5000  0.5000  0.0000  6 Se 2.72-2.73

Results
spin magnetization: 1.2 μB/f.u.
formation energy from raw total energies: -632 meV/atom
SG: No. 10

(4)
Below is a geometry-optimized U2TlPd2Se6 structure, with properties calculated at the PBE-GGA level.

a b c (Å): 7.4380 6.8983 8.3158
angles (deg): 122.30 86.76 63.33
Last column: nearest neighbours and their distance in Å.
Atoms (fractional coordinates):
Tl  0.5000  0.0000  0.5000  6 Se 3.14-3.26
Se  0.7957  0.2190  0.4664  1 Pd 2.53, 2 U 2.78
Se  0.5731  0.1708  0.9115  1 Pd 2.54, 2 U 2.78-2.79
Se  0.4269  0.8292  0.0885  1 Pd 2.54, 2 U 2.78-2.79
Se  0.0344  0.5930  0.8483  2 Pd 2.63-2.68, 2 U 2.75-2.82
Se  0.9656  0.4070  0.1517  2 Pd 2.63-2.68, 2 U 2.75-2.82
Se  0.2043  0.7810  0.5336  1 Pd 2.53, 2 U 2.78
U  0.1651  0.6792  0.1699  6 Se 2.75-2.82
U  0.8349  0.3208  0.8301  6 Se 2.75-2.82
Pd  0.2149  0.8511  0.8633  4 Se 2.53-2.68, 1 Pd 2.81
Pd  0.7851  0.1489  0.1367  4 Se 2.53-2.68, 1 Pd 2.81

Results
spin magnetization: 1.0 μB/f.u.
formation energy from raw total energies: -704 meV/atom
SG: No. 2

(5)
Below is a geometry-optimized UTl3Pd2Se6 structure, with properties calculated at the PBE-GGA level.

a b c (Å): 6.5220 6.5220 8.5131
angles (deg): 97.33 97.33 120.07
Last column: nearest neighbours and their distance in Å.
Atoms (fractional coordinates):
Se  0.7182  0.7182  0.1903  2 Pd 2.65, 1 U 2.74
Se  0.4089  0.0626  0.1905  2 Pd 2.65, 1 U 2.75
Se  0.9374  0.5911  0.8095  2 Pd 2.65, 1 U 2.75
Se  0.5911  0.9374  0.8095  2 Pd 2.65, 1 U 2.75
Se  0.2818  0.2818  0.8097  2 Pd 2.65, 1 U 2.74
Se  0.0626  0.4089  0.1905  2 Pd 2.65, 1 U 2.75
Pd  0.6663  0.3337  0.0000  6 Se 2.65
Pd  0.3337  0.6663  0.0000  6 Se 2.65
Tl  0.5000  0.5000  0.5000  6 Se 3.30-3.38
Tl  0.8355  0.1645  0.5000  6 Se 3.31-3.37
Tl  0.1645  0.8355  0.5000  6 Se 3.31-3.37
U  0.0000  0.0000  0.0000  6 Se 2.74-2.75

Results
spin magnetization: 0.5 μB/f.u.
formation energy from raw total energies: -531 meV/atom
SG: No. 12

(6)
Below is a geometry-optimized UTlPdSe2 structure, with properties calculated at the PBE-GGA level.

a b c (Å): 4.8045 8.3454 7.3367
angles (deg): 101.13 90.00 90.00
Last column: nearest neighbours and their distance in Å.
Atoms (fractional coordinates):
Se  0.7035  0.2490  0.5530  1 Pd 2.49
Se  0.7035  0.7510  0.9470  1 Pd 2.49
Se  0.2965  0.7510  0.4470  1 Pd 2.49
Se  0.2965  0.2490  0.0530  1 Pd 2.49
U  0.4973  0.0000  0.2500  4 Se 2.91-2.92, 4 Pd 3.01-3.03
U  0.5027  0.0000  0.7500  4 Se 2.91-2.92, 4 Pd 3.01-3.03
Pd  0.0000  0.0000  0.5000  2 Se 2.49
Pd  0.0000  0.0000  0.0000  2 Se 2.49
Tl  0.8059  0.5000  0.2500  6 Se 3.30-3.37
Tl  0.1941  0.5000  0.7500  6 Se 3.30-3.37

Results
spin magnetization: 3.0 μB/f.u.
formation energy from raw total energies: -561 meV/atom
SG: No. 13

(7)
Below is a geometry-optimized U2TlPdSe4 structure, with properties calculated at the PBE-GGA level.

a b c (Å): 4.1237 7.2932 14.5948
angles (deg): 90.00 90.00 106.42
Last column: nearest neighbours and their distance in Å.
Atoms (fractional coordinates):
Se  0.0000  0.0000  0.5000  4 U 2.95
Se  0.5592  0.1184  0.2500  2 Pd 2.57, 2 U 2.84
Se  0.7305  0.4609  0.8957  1 Pd 2.55
Se  0.2695  0.5391  0.1043  1 Pd 2.55
Se  0.4408  0.8816  0.7500  2 Pd 2.57, 2 U 2.84
Se  0.2695  0.5391  0.3957  1 Pd 2.55
Se  0.7305  0.4609  0.6043  1 Pd 2.55
Se  0.0000  0.0000  0.0000  4 U 2.95
U  0.6323  0.2647  0.4313  6 Se 2.84-2.95
U  0.3677  0.7353  0.5687  6 Se 2.84-2.95
U  0.3677  0.7353  0.9313  6 Se 2.84-2.95
U  0.6323  0.2647  0.0687  6 Se 2.84-2.95
Pd  0.1683  0.3365  0.2500  4 Se 2.55-2.57
Pd  0.8317  0.6635  0.7500  4 Se 2.55-2.57
Tl  0.1212  0.2424  0.7500  6 Se 3.26-3.33, 2 Pd 3.60
Tl  0.8788  0.7576  0.2500  6 Se 3.26-3.33, 2 Pd 3.60

Results
spin magnetization: 5.0 μB/f.u.
formation energy from raw total energies: -881 meV/atom
SG: No. 63

(8)
Below is a geometry-optimized U3Tl4PdSe8 structure, with properties calculated at the PBE-GGA level.

a b c (Å): 8.1021 9.2141 8.1104
angles (deg): 116.14 119.97 90.00
Last column: nearest neighbours and their distance in Å.
Atoms (fractional coordinates):
Tl  0.0000  0.0000  0.5000  6 Se 3.28-3.33
Tl  0.5000  0.0000  0.0000  6 Se 3.33-3.34
Tl  0.0000  0.0000  0.0000  6 Se 3.28-3.33
Tl  0.5000  0.0000  0.5000  6 Se 3.28-3.33
Pd  0.0000  0.5000  0.0000  6 Se 2.83-2.84
U  0.0000  0.5000  0.5000  6 Se 2.83-2.87
U  0.5000  0.5000  0.0000  6 Se 2.83-2.87
U  0.5000  0.5000  0.5000  6 Se 2.83-2.87
Se  0.2635  0.2902  0.5269  3 U 2.87
Se  0.2332  0.7011  0.9680  1 Pd 2.83, 2 U 2.83-2.84
Se  0.2653  0.2989  0.0320  1 Pd 2.83, 2 U 2.83-2.84
Se  0.2341  0.7019  0.4683  2 U 2.83, 1 Pd 2.84
Se  0.7365  0.7098  0.4731  3 U 2.87
Se  0.7668  0.2989  0.0320  1 Pd 2.83, 2 U 2.83-2.84
Se  0.7659  0.2981  0.5317  2 U 2.83, 1 Pd 2.84
Se  0.7347  0.7011  0.9680  1 Pd 2.83, 2 U 2.83-2.84

Results
spin magnetization: 6.1 μB/f.u.
formation energy from raw total energies: -771 meV/atom
SG: No. 12

(9)
Below is a geometry-optimized U3Tl3PdSe8 structure, with properties calculated at the PBE-GGA level.

a b c (Å): 8.0919 7.9806 9.1945
angles (deg): 115.12 90.00 120.46
Last column: nearest neighbours and their distance in Å.
Atoms (fractional coordinates):
U  0.5000  0.0000  0.5000  6 Se 2.82-2.86
U  0.0000  0.5000  0.5000  6 Se 2.80-2.86
U  0.5000  0.5000  0.5000  6 Se 2.80-2.86
Se  0.7261  0.9643  0.7040  2 U 2.80-2.82, 1 Pd 2.89
Se  0.2628  0.5256  0.2895  3 U 2.86
Se  0.7619  0.0357  0.2960  2 U 2.80-2.82, 1 Pd 2.89
Se  0.7372  0.4744  0.7105  3 U 2.86
Se  0.2739  0.0357  0.2960  2 U 2.80-2.82, 1 Pd 2.89
Se  0.7776  0.5552  0.3078  1 Pd 2.68, 2 U 2.83
Se  0.2224  0.4448  0.6922  1 Pd 2.68, 2 U 2.83
Se  0.2381  0.9643  0.7040  2 U 2.80-2.82, 1 Pd 2.89
Tl  0.0000  0.0000  0.0000  6 Se 3.27-3.33
Tl  0.5000  0.5000  0.0000  6 Se 3.28-3.35
Tl  0.0000  0.5000  0.0000  6 Se 3.28-3.35
Pd  0.0000  0.0000  0.5000  6 Se 2.68-2.89

Results
spin magnetization: 6.3 μB/f.u.
formation energy from raw total energies: -793 meV/atom
SG: No. 12

(10)
Below is a geometry-optimized UTl2Pd2Se4 structure, with properties calculated at the PBE-GGA level.

a b c (Å): 4.0911 8.0160 7.7246
angles (deg): 108.14 105.36 90.00
Last column: nearest neighbours and their distance in Å.
Atoms (fractional coordinates):
Se  0.1910  0.1807  0.3819  3 Pd 2.55-2.70, 1 U 2.74
Se  0.4928  0.2378  0.9856  1 Pd 2.57, 2 U 2.82
Se  0.5072  0.7622  0.0144  1 Pd 2.57, 2 U 2.82
Se  0.8090  0.8193  0.6181  3 Pd 2.55-2.70, 1 U 2.74
U  0.0000  0.0000  0.0000  6 Se 2.74-2.82
Tl  0.8589  0.3936  0.7178  4 Se 3.26-3.37, 3 Pd 3.53-3.54
Tl  0.1411  0.6064  0.2822  4 Se 3.26-3.37, 3 Pd 3.53-3.54
Pd  0.6763  0.9832  0.3527  4 Se 2.55-2.70
Pd  0.3237  0.0168  0.6473  4 Se 2.55-2.70

Results
spin magnetization: 0.7 μB/f.u.
formation energy from raw total energies: -657 meV/atom
SG: No. 12

We obtain uncorrected energy values of -4.2030 -3.3831 -5.0255 -5.8159 -4.6714 -5.7243 -6.3906 -5.5457 -5.7289 -5.1396 eV per atom for the records listed above, in that order.